Ba2Na2Br | PBE-GGA | optimized geometry

a b c (Å): 8.557 8.557 6.261
angles (deg): 90.00 90.00 90.00
Positions (direct):
Ba (0.169, 0.331, 0.000)
Ba (0.331, 0.831, 0.000)
Ba (0.669, 0.169, 0.000)
Ba (0.831, 0.669, 0.000)
Na (0.140, 0.640, 0.500)
Na (0.360, 0.140, 0.500)
Na (0.640, 0.860, 0.500)
Na (0.860, 0.360, 0.500)
Br (0.000, 0.000, 0.500)
Br (0.500, 0.500, 0.500)

theoretical density = 2.90 g/cm3
total magnetic moment = 0.00 μB per formula unit

---

BaNaBr3 | PBE-GGA | optimized geometry

a b c (Å): 9.624 8.007 10.086
angles (deg): 90.00 103.78 90.00
Positions (direct):
Ba (0.135, 0.245, 0.154)
Ba (0.135, 0.255, 0.654)
Ba (0.865, 0.745, 0.346)
Ba (0.865, 0.755, 0.846)
Na (0.402, 0.714, 0.540)
Na (0.402, 0.786, 0.040)
Na (0.598, 0.214, 0.960)
Na (0.598, 0.286, 0.460)
Br (0.151, 0.507, 0.401)
Br (0.151, 0.993, 0.901)
Br (0.177, 0.514, 0.924)
Br (0.177, 0.986, 0.424)
Br (0.470, 0.138, 0.192)
Br (0.470, 0.362, 0.692)
Br (0.530, 0.638, 0.308)
Br (0.530, 0.862, 0.808)
Br (0.823, 0.014, 0.576)
Br (0.823, 0.486, 0.076)
Br (0.849, 0.007, 0.099)
Br (0.849, 0.493, 0.599)

theoretical density = 3.52 g/cm3
total magnetic moment = 0.00 μB per formula unit

---

BaNaBr2 | PBE-GGA | optimized geometry

a b c (Å): 9.698 9.698 9.698
angles (deg): 27.34 27.34 27.34
Positions (direct):
Ba (0.000, 0.000, 0.000)
Na (0.500, 0.500, 0.500)
Br (0.111, 0.111, 0.111)
Br (0.889, 0.889, 0.889)

theoretical density = 3.13 g/cm3
total magnetic moment = 0.00 μB per formula unit

---

Number 1: total DFT energy (no corrections) -19.81 eV for the cell shown, density of states at the Fermi level 1.00 states/eV/atom, ΔE_f (raw) -0.3497 eV/atom. Number 2: total DFT energy (no corrections) -71.12 eV for the cell shown, density of states at the Fermi level 0.00 states/eV/atom, ΔE_f (raw) -1.9038 eV/atom. Number 3: total DFT energy (no corrections) -12.16 eV for the cell shown, density of states at the Fermi level 0.59 states/eV/atom, ΔE_f (raw) -1.3926 eV/atom.